PaCrIn | PBE | optimized geometry

Geometry as POSCAR:
```
PaCrIn
1.0
3.4573 0.0000 0.0000
0.0000 3.4573 0.0000
-1.7287 -1.7287 11.5986
In Cr Pa
2 2 2
Direct
0.4374 0.4374 0.8747 In
0.5626 0.5626 0.1253 In
0.2641 0.2641 0.5282 Cr
0.7359 0.7359 0.4718 Cr
0.1673 0.1673 0.3345 Pa
0.8327 0.8327 0.6655 Pa
```

E_form   0.261 eV per atom